No. 1
# Cs3AlSb2 (PBE-GGA, relaxed)
data_Cs3AlSb2
_cell_length_a 22.235
_cell_length_b 4.559
_cell_length_c 14.631
_cell_angle_alpha 90.00
_cell_angle_beta 121.05
_cell_angle_gamma 90.00
_symmetry_space_group_name_H-M 'C 1 2/m 1'
_symmetry_Int_Tables_number 12
loop_
_symmetry_equiv_pos_as_xyz
'x,y,z'
'-x,-y,-z'
'-x,y,-z'
'x,-y,z'
'x+1/2,y+1/2,z'
'-x+1/2,-y+1/2,-z'
'-x+1/2,y+1/2,-z'
'x+1/2,-y+1/2,z'
loop_
_atom_site_label
_atom_site_type_symbol
_atom_site_fract_x
_atom_site_fract_y
_atom_site_fract_z
Cs1 Cs 0.041 0.000 0.247
Cs2 Cs 0.164 0.500 0.002
Cs3 Cs 0.220 0.000 0.623
Al1 Al 0.070 0.500 0.647
Sb1 Sb 0.075 0.500 0.463
Sb2 Sb 0.132 0.000 0.775
# N(E_F) = 0.394 states/eV per atom
# crystal system = monoclinic

***

No. 2
# CsAlSb3 (PBE-GGA, relaxed)
data_CsAlSb3
_cell_length_a 5.527
_cell_length_b 5.527
_cell_length_c 5.527
_cell_angle_alpha 90.00
_cell_angle_beta 90.00
_cell_angle_gamma 90.00
_symmetry_space_group_name_H-M 'P m -3 m'
_symmetry_Int_Tables_number 221
_symmetry_space_group_name_Hall '-P 4 2 3'
loop_
_atom_site_label
_atom_site_type_symbol
_atom_site_fract_x
_atom_site_fract_y
_atom_site_fract_z
Cs1 Cs 0.000 0.000 0.000
Al1 Al 0.500 0.500 0.500
Sb1 Sb 0.000 0.500 0.500
# N(E_F) = 0.811 states/eV per atom
# crystal system = cubic

***

No. 3
# CsAl2Sb2 (PBE-GGA, relaxed)
data_CsAl2Sb2
_cell_length_a 4.062
_cell_length_b 4.062
_cell_length_c 9.480
_cell_angle_alpha 90.00
_cell_angle_beta 90.00
_cell_angle_gamma 90.00
_symmetry_space_group_name_H-M 'P 4/m m m'
_symmetry_Int_Tables_number 123
_symmetry_space_group_name_Hall '-P 4 2'
loop_
_atom_site_label
_atom_site_type_symbol
_atom_site_fract_x
_atom_site_fract_y
_atom_site_fract_z
Cs1 Cs 0.000 0.000 0.000
Al1 Al 0.000 0.500 0.500
Sb1 Sb 0.500 0.500 0.289
# N(E_F) = 0.375 states/eV per atom
# crystal system = tetragonal

***

No. 4
# CsAlSb3 (PBE-GGA, relaxed)
data_CsAlSb3
_cell_length_a 6.215
_cell_length_b 6.215
_cell_length_c 6.215
_cell_angle_alpha 90.00
_cell_angle_beta 90.00
_cell_angle_gamma 90.00
_symmetry_space_group_name_H-M 'P m -3 m'
_symmetry_Int_Tables_number 221
_symmetry_space_group_name_Hall '-P 4 2 3'
loop_
_atom_site_label
_atom_site_type_symbol
_atom_site_fract_x
_atom_site_fract_y
_atom_site_fract_z
Cs1 Cs 0.000 0.000 0.000
Al1 Al 0.500 0.500 0.500
Sb1 Sb 0.000 0.000 0.500
# N(E_F) = 1.591 states/eV per atom
# crystal system = cubic

***

No. 5
# Cs2AlSb2 (PBE-GGA, relaxed)
data_Cs2AlSb2
_cell_length_a 7.664
_cell_length_b 7.664
_cell_length_c 6.442
_cell_angle_alpha 90.00
_cell_angle_beta 90.00
_cell_angle_gamma 90.00
_symmetry_space_group_name_H-M 'P 4/m b m'
_symmetry_Int_Tables_number 127
_symmetry_space_group_name_Hall '-P 4 2ab'
loop_
_atom_site_label
_atom_site_type_symbol
_atom_site_fract_x
_atom_site_fract_y
_atom_site_fract_z
Cs1 Cs 0.173 0.327 0.000
Al1 Al 0.000 0.000 0.500
Sb1 Sb 0.141 0.641 0.500
# N(E_F) = 0.652 states/eV per atom
# crystal system = tetragonal

***

No. 6
# Cs3AlSb (PBE-GGA, relaxed)
data_Cs3AlSb
_cell_length_a 7.405
_cell_length_b 7.405
_cell_length_c 7.405
_cell_angle_alpha 90.00
_cell_angle_beta 90.00
_cell_angle_gamma 90.00
_symmetry_space_group_name_H-M 'P m -3 m'
_symmetry_Int_Tables_number 221
_symmetry_space_group_name_Hall '-P 4 2 3'
loop_
_atom_site_label
_atom_site_type_symbol
_atom_site_fract_x
_atom_site_fract_y
_atom_site_fract_z
Cs1 Cs 0.000 0.000 0.500
Al1 Al 0.500 0.500 0.500
Sb1 Sb 0.000 0.000 0.000
# N(E_F) = 2.324 states/eV per atom
# crystal system = cubic

***

Per-record final energy, eV per cell: -64.9 -16.2 -17.0 -9.1 -28.9 -8.7
Per-record E_form (uncorrected), meV per atom: -278 149 -93 1574 -148 340